w.
The following is a PBE calculation of crystalline Hf2ScTl at its relaxed geometry, from the Alexandria database.

Values from the calculation:
Theoretical density: 11.371 g cm⁻³
Size of the total moment: 0.00 Bohr magnetons per cell
DOS(E_F): 1.312 states/eV/atom

Cell and atoms, written as CIF:
```
data_Hf2ScTl
_chemical_formula_sum 'Hf2 Sc1 Tl1'
_cell_length_a 4.413
_cell_length_b 4.413
_cell_length_c 4.547
_cell_angle_alpha 90.00
_cell_angle_beta 90.00
_cell_angle_gamma 90.00
_space_group_name_H-M_alt 'P 4/m m m'
_space_group_IT_number 123
_space_group_name_Hall '-P 4 2'
loop_
_atom_site_label
_atom_site_type_symbol
_atom_site_fract_x
_atom_site_fract_y
_atom_site_fract_z
Hf1 Hf 0.000 0.500 0.000
Sc1 Sc 0.000 0.000 0.500
Tl1 Tl 0.500 0.500 0.500
```


x.
The following is a PBE calculation of crystalline Hf2ScTl at its relaxed geometry, from the Alexandria database.

Values from the calculation:
Theoretical density: 10.374 g cm⁻³
Size of the total moment: 0.00 Bohr magnetons per cell
DOS(E_F): 1.350 states/eV/atom

Cell and atoms, written as CIF:
```
data_Hf2ScTl
_chemical_formula_sum 'Hf8 Sc4 Tl4'
_cell_length_a 8.145
_cell_length_b 8.145
_cell_length_c 5.852
_cell_angle_alpha 90.00
_cell_angle_beta 90.00
_cell_angle_gamma 90.00
_space_group_name_H-M_alt 'I -4 2 d'
_space_group_IT_number 122
_space_group_name_Hall 'I -4 2bw'
loop_
_atom_site_label
_atom_site_type_symbol
_atom_site_fract_x
_atom_site_fract_y
_atom_site_fract_z
Hf1 Hf 0.237 0.750 0.125
Sc1 Sc 0.000 0.000 0.500
Tl1 Tl 0.000 0.000 0.000
```


Verdict on stability: x comes out at the bottom.


w.
The following is a PBE calculation of crystalline HfSc3Tl at its relaxed geometry, from the Alexandria database.

Values from the calculation:
Theoretical density: 5.770 g cm⁻³
Size of the total moment: 2.12 Bohr magnetons per cell
DOS(E_F): 1.847 states/eV/atom

Cell and atoms, written as CIF:
```
data_HfSc3Tl
_chemical_formula_sum 'Hf1 Sc3 Tl1'
_cell_length_a 5.301
_cell_length_b 5.301
_cell_length_c 5.301
_cell_angle_alpha 90.00
_cell_angle_beta 90.00
_cell_angle_gamma 90.00
_space_group_name_H-M_alt 'P m -3 m'
_space_group_IT_number 221
_space_group_name_Hall '-P 4 2 3'
loop_
_atom_site_label
_atom_site_type_symbol
_atom_site_fract_x
_atom_site_fract_y
_atom_site_fract_z
Hf1 Hf 0.000 0.000 0.000
Sc1 Sc 0.000 0.500 0.500
Tl1 Tl 0.500 0.500 0.500
```


x.
The following is a PBE calculation of crystalline HfSc3Tl at its relaxed geometry, from the Alexandria database.

Values from the calculation:
Theoretical density: 6.011 g cm⁻³
Size of the total moment: 0.00 Bohr magnetons per cell
DOS(E_F): 1.055 states/eV/atom

Cell and atoms, written as CIF:
```
data_HfSc3Tl
_chemical_formula_sum 'Hf1 Sc3 Tl1'
_cell_length_a 5.230
_cell_length_b 5.230
_cell_length_c 5.230
_cell_angle_alpha 90.00
_cell_angle_beta 90.00
_cell_angle_gamma 90.00
_space_group_name_H-M_alt 'P m -3 m'
_space_group_IT_number 221
_space_group_name_Hall '-P 4 2 3'
loop_
_atom_site_label
_atom_site_type_symbol
_atom_site_fract_x
_atom_site_fract_y
_atom_site_fract_z
Hf1 Hf 0.000 0.000 0.000
Sc1 Sc 0.000 0.000 0.500
Tl1 Tl 0.500 0.500 0.500
```


y.
The following is a PBE calculation of crystalline HfSc3Tl at its relaxed geometry, from the Alexandria database.

Values from the calculation:
Theoretical density: 7.321 g cm⁻³
Size of the total moment: 0.00 Bohr magnetons per cell
DOS(E_F): 1.317 states/eV/atom

Cell and atoms, written as CIF:
```
data_HfSc3Tl
_chemical_formula_sum 'Hf4 Sc12 Tl4'
_cell_length_a 19.687
_cell_length_b 3.280
_cell_length_c 7.539
_cell_angle_alpha 90.00
_cell_angle_beta 105.27
_cell_angle_gamma 90.00
_space_group_name_H-M_alt 'C 1 2/m 1'
_space_group_IT_number 12
_space_group_name_Hall '-C 2y'
loop_
_atom_site_label
_atom_site_type_symbol
_atom_site_fract_x
_atom_site_fract_y
_atom_site_fract_z
Hf1 Hf 0.218 0.000 0.323
Sc1 Sc 0.086 0.500 0.094
Sc2 Sc 0.117 0.500 0.522
Sc3 Sc 0.186 0.000 0.889
Tl1 Tl 0.021 0.000 0.731
```


Verdict on stability: w comes out at the bottom.


w.
The following is a PBE calculation of crystalline TmHfSc2 at its relaxed geometry, from the Alexandria database.

Values from the calculation:
Theoretical density: 7.270 g cm⁻³
Size of the total moment: 0.00 Bohr magnetons per cell
DOS(E_F): 1.499 states/eV/atom

Cell and atoms, written as CIF:
```
data_TmHfSc2
_chemical_formula_sum 'Tm3 Hf3 Sc6'
_cell_length_a 3.2772
_cell_length_b 3.2772
_cell_length_c 32.2193
_cell_angle_alpha 90.00
_cell_angle_beta 90.00
_cell_angle_gamma 120.00
_space_group_name_H-M_alt 'R -3 m'
_space_group_IT_number 166
_space_group_name_Hall '-R 3 2"'
loop_
_atom_site_label
_atom_site_type_symbol
_atom_site_fract_x
_atom_site_fract_y
_atom_site_fract_z
Tm1 Tm 0.0000 0.0000 0.0000
Hf1 Hf 0.0000 0.0000 0.5000
Sc1 Sc 0.0000 0.0000 0.2449
```


x.
The following is a PBE calculation of crystalline TmHfSc2 at its relaxed geometry, from the Alexandria database.

Values from the calculation:
Theoretical density: 7.199 g cm⁻³
Size of the total moment: 0.00 Bohr magnetons per cell
DOS(E_F): 1.919 states/eV/atom

Cell and atoms, written as CIF:
```
data_TmHfSc2
_chemical_formula_sum 'Tm1 Hf1 Sc2'
_cell_length_a 3.744
_cell_length_b 3.744
_cell_length_c 7.197
_cell_angle_alpha 90.00
_cell_angle_beta 90.00
_cell_angle_gamma 90.00
_space_group_name_H-M_alt 'P 4/m m m'
_space_group_IT_number 123
_space_group_name_Hall '-P 4 2'
loop_
_atom_site_label
_atom_site_type_symbol
_atom_site_fract_x
_atom_site_fract_y
_atom_site_fract_z
Tm1 Tm 0.000 0.000 0.000
Hf1 Hf 0.000 0.000 0.500
Sc1 Sc 0.500 0.500 0.280
```


y.
The following is a PBE calculation of crystalline TmHfSc2 at its relaxed geometry, from the Alexandria database.

Values from the calculation:
Theoretical density: 7.270 g cm⁻³
Size of the total moment: 0.05 Bohr magnetons per cell
DOS(E_F): 1.741 states/eV/atom

Cell and atoms, written as CIF:
```
data_TmHfSc2
_chemical_formula_sum 'Tm3 Hf3 Sc6'
_cell_length_a 3.2973
_cell_length_b 3.2973
_cell_length_c 31.8279
_cell_angle_alpha 90.00
_cell_angle_beta 90.00
_cell_angle_gamma 120.00
_space_group_name_H-M_alt 'R 3 m'
_space_group_IT_number 160
_space_group_name_Hall 'R 3 -2"'
loop_
_atom_site_label
_atom_site_type_symbol
_atom_site_fract_x
_atom_site_fract_y
_atom_site_fract_z
Tm1 Tm 0.0000 0.0000 0.0000
Hf1 Hf 0.0000 0.0000 0.8346
Sc1 Sc 0.0000 0.0000 0.2461
Sc2 Sc 0.0000 0.0000 0.4222
```


Verdict on stability: x comes out at the bottom.


w.
The following is a PBE calculation of crystalline TmHf2Sc at its relaxed geometry, from the Alexandria database.

Values from the calculation:
Theoretical density: 9.799 g cm⁻³
Size of the total moment: 0.00 Bohr magnetons per cell
DOS(E_F): 1.473 states/eV/atom

Cell and atoms, written as CIF:
```
data_TmHf2Sc
_chemical_formula_sum 'Tm3 Hf6 Sc3'
_cell_length_a 3.2615
_cell_length_b 3.2615
_cell_length_c 31.5030
_cell_angle_alpha 90.00
_cell_angle_beta 90.00
_cell_angle_gamma 120.00
_space_group_name_H-M_alt 'R 3 m'
_space_group_IT_number 160
_space_group_name_Hall 'R 3 -2"'
loop_
_atom_site_label
_atom_site_type_symbol
_atom_site_fract_x
_atom_site_fract_y
_atom_site_fract_z
Tm1 Tm 0.0000 0.0000 0.0000
Hf1 Hf 0.0000 0.0000 0.2482
Hf2 Hf 0.0000 0.0000 0.4182
Sc1 Sc 0.0000 0.0000 0.8338
```


x.
The following is a PBE calculation of crystalline TmHf2Sc at its relaxed geometry, from the Alexandria database.

Values from the calculation:
Theoretical density: 9.833 g cm⁻³
Size of the total moment: 0.00 Bohr magnetons per cell
DOS(E_F): 1.418 states/eV/atom

Cell and atoms, written as CIF:
```
data_TmHf2Sc
_chemical_formula_sum 'Tm3 Hf6 Sc3'
_cell_length_a 3.2274
_cell_length_b 3.2274
_cell_length_c 32.0610
_cell_angle_alpha 90.00
_cell_angle_beta 90.00
_cell_angle_gamma 120.00
_space_group_name_H-M_alt 'R -3 m'
_space_group_IT_number 166
_space_group_name_Hall '-R 3 2"'
loop_
_atom_site_label
_atom_site_type_symbol
_atom_site_fract_x
_atom_site_fract_y
_atom_site_fract_z
Tm1 Tm 0.0000 0.0000 0.0000
Hf1 Hf 0.0000 0.0000 0.2482
Sc1 Sc 0.0000 0.0000 0.5000
```


y.
The following is a PBE calculation of crystalline TmHf2Sc at its relaxed geometry, from the Alexandria database.

Values from the calculation:
Theoretical density: 9.706 g cm⁻³
Size of the total moment: 0.00 Bohr magnetons per cell
DOS(E_F): 1.473 states/eV/atom

Cell and atoms, written as CIF:
```
data_TmHf2Sc
_chemical_formula_sum 'Tm2 Hf4 Sc2'
_cell_length_a 4.617
_cell_length_b 4.527
_cell_length_c 9.347
_cell_angle_alpha 90.00
_cell_angle_beta 90.00
_cell_angle_gamma 90.00
_space_group_name_H-M_alt 'P m m a'
_space_group_IT_number 51
_space_group_name_Hall '-P 2a 2a'
loop_
_atom_site_label
_atom_site_type_symbol
_atom_site_fract_x
_atom_site_fract_y
_atom_site_fract_z
Tm1 Tm 0.250 0.000 0.138
Hf1 Hf 0.250 0.000 0.617
Hf2 Hf 0.250 0.500 0.386
Sc1 Sc 0.250 0.500 0.856
```


z.
The following is a PBE calculation of crystalline TmHf2Sc at its relaxed geometry, from the Alexandria database.

Values from the calculation:
Theoretical density: 9.759 g cm⁻³
Size of the total moment: 0.00 Bohr magnetons per cell
DOS(E_F): 1.891 states/eV/atom

Cell and atoms, written as CIF:
```
data_TmHf2Sc
_chemical_formula_sum 'Tm1 Hf2 Sc1'
_cell_length_a 3.705
_cell_length_b 3.705
_cell_length_c 7.075
_cell_angle_alpha 90.00
_cell_angle_beta 90.00
_cell_angle_gamma 90.00
_space_group_name_H-M_alt 'P 4/m m m'
_space_group_IT_number 123
_space_group_name_Hall '-P 4 2'
loop_
_atom_site_label
_atom_site_type_symbol
_atom_site_fract_x
_atom_site_fract_y
_atom_site_fract_z
Tm1 Tm 0.000 0.000 0.000
Hf1 Hf 0.500 0.500 0.283
Sc1 Sc 0.000 0.000 0.500
```


Verdict on stability: z comes out at the bottom.